Record 1
VASP calculation (PBE-GGA) on Ce6As2C after structural relaxation.

Cell: 6.0115 8.7828 9.2943 Å, 90.00 120.18 90.00°
With the nearest neighbours (Å) after each atom.
Space group P2_1/c (No. 14)
Unique sites:
Ce 0.1072 0.1306 0.4751  1 C 2.53, 1 Ce 2.78
Ce 0.3073 0.7451 0.4759  1 C 2.48
Ce 0.3301 0.0091 0.1886  1 C 2.54
As 0.1719 0.0860 0.8210  9 Ce 2.99-3.18
C 0.5000 0.0000 0.5000  6 Ce 2.48-2.54

Results
As for the total moment: 3.62 μB per formula unit. As for the crystal system: monoclinic. For the formation energy from the elements, the calculation gives -0.611 eV per atom.


Record 2
VASP calculation (PBE-GGA) on KBi3Au3 after structural relaxation.

Cell: 8.2711 8.2711 24.0433 Å, 90.00 90.00 120.00°
With the nearest neighbours (Å) after each atom.
Space group R-3 (No. 148, hexagonal axes)
Unique sites:
K 0.0000 0.0000 0.1666  6 Au 3.60-3.67, 6 Bi 3.91-3.95
Bi 0.0053 0.2812 0.6052  4 Au 2.75-2.93
Au 0.0078 0.3925 0.3929  4 Bi 2.75-2.93

Results
As for the total moment: 0.00 μB per formula unit. As for the crystal system: trigonal. As for the polymorph energy (0 for the lowest one): 87 meV per atom. For the formation energy from the elements, the calculation gives -0.041 eV per atom.


Record 3
VASP calculation (PBE-GGA) on TaMo3Pt after structural relaxation.

Cell: 4.7246 4.7246 4.7246 Å, 90.00 90.00 90.00°
With the nearest neighbours (Å) after each atom.
Space group Pm-3m (No. 221)
Unique sites:
Ta 0.0000 0.0000 0.0000  12 Mo 3.34
Mo 0.0000 0.5000 0.5000  2 Pt 2.36
Pt 0.5000 0.5000 0.5000  6 Mo 2.36

Results
As for the total moment: 0.00 μB per formula unit. As for the crystal system: cubic. As for the polymorph energy (0 for the lowest one): 0 meV per atom. For the formation energy from the elements, the calculation gives 1.784 eV per atom.


Record 4
VASP calculation (PBE-GGA) on Ti3Al2Zn4 after structural relaxation.

Cell: 9.4590 4.2852 7.9773 Å, 90.00 120.05 90.00°
With the nearest neighbours (Å) after each atom.
Space group C2/m (No. 12)
Unique sites:
Ti 0.0000 0.0000 0.0000  8 Zn 2.86-2.89, 4 Al 2.87, 2 Ti 2.93
Ti 0.1671 0.5000 0.6658  8 Zn 2.86-2.89, 4 Al 2.87-2.88, 2 Ti 2.93-2.94
Al 0.1103 0.5000 0.2765  3 Zn 2.48-2.49
Zn 0.0552 0.0000 0.3903  1 Zn 2.45, 2 Al 2.48
Zn 0.2223 0.5000 0.0532  2 Zn 2.46, 1 Al 2.49

Results
As for the total moment: 0.00 μB per formula unit. As for the crystal system: monoclinic. For the formation energy from the elements, the calculation gives -0.268 eV per atom.


Record 5
VASP calculation (PBE-GGA) on TbB2O6 after structural relaxation.

Cell: 5.7060 5.7060 4.7201 Å, 90.00 90.00 120.00°
With the nearest neighbours (Å) after each atom.
Space group P-3m1 (No. 164)
Unique sites:
Tb 0.0000 0.0000 0.0000  6 O 2.28
B 0.3333 0.6667 0.7373  3 O 1.36
O 0.1954 0.3908 0.7452  1 B 1.36

Results
As for the total moment: 3.05 μB per formula unit. As for the crystal system: trigonal. Its total energy is -7.28 eV/atom.


Record 6
VASP calculation (PBE-GGA) on Pm5Cd2Au12 after structural relaxation.

Cell: 15.7681 7.5010 7.2597 Å, 90.00 92.12 90.00°
With the nearest neighbours (Å) after each atom.
Space group C2/m (No. 12)
Unique sites:
Pm 0.0000 0.0000 0.0000  8 Au 3.04-3.32
Pm 0.1920 0.5000 0.5441  8 Au 3.05-3.25
Pm 0.2479 0.0000 0.9365  10 Au 3.05-3.31
Cd 0.0000 0.2655 0.5000  8 Au 2.87-3.14
Au 0.0540 0.5000 0.2008  6 Au 2.84-3.06, 2 Cd 2.95
Au 0.1066 0.3028 0.8547  5 Au 2.92-3.08, 1 Cd 3.04, 4 Pm 3.04-3.22
Au 0.1234 0.0000 0.6051  2 Cd 2.87, 4 Au 2.92-2.99, 2 Pm 3.05-3.14
Au 0.1549 0.1889 0.2519  4 Au 2.83-3.08, 3 Pm 3.11-3.13, 1 Cd 3.14

Results
As for the total moment: 0.00 μB per formula unit. As for the crystal system: monoclinic. For the formation energy from the elements, the calculation gives -0.593 eV per atom.


Copy entry 4 word for word.
VASP calculation (PBE-GGA) on Ti3Al2Zn4 after structural relaxation.

Cell: 9.4590 4.2852 7.9773 Å, 90.00 120.05 90.00°
With the nearest neighbours (Å) after each atom.
Space group C2/m (No. 12)
Unique sites:
Ti 0.0000 0.0000 0.0000  8 Zn 2.86-2.89, 4 Al 2.87, 2 Ti 2.93
Ti 0.1671 0.5000 0.6658  8 Zn 2.86-2.89, 4 Al 2.87-2.88, 2 Ti 2.93-2.94
Al 0.1103 0.5000 0.2765  3 Zn 2.48-2.49
Zn 0.0552 0.0000 0.3903  1 Zn 2.45, 2 Al 2.48
Zn 0.2223 0.5000 0.0532  2 Zn 2.46, 1 Al 2.49

Results
As for the total moment: 0.00 μB per formula unit. As for the crystal system: monoclinic. For the formation energy from the elements, the calculation gives -0.268 eV per atom.